# Cd2Ag4Au3, relaxed, DFT PBE
data_Cd2Ag4Au3
_cell_length_a 5.1152
_cell_length_b 8.3540
_cell_length_c 8.3540
_cell_angle_alpha 73.54
_cell_angle_beta 82.62
_cell_angle_gamma 82.62
_symmetry_space_group_name_H-M 'P 1'
_symmetry_Int_Tables_number 1
loop_
_symmetry_equiv_pos_as_xyz
'x,y,z'
loop_
_atom_site_label
_atom_site_type_symbol
_atom_site_fract_x
_atom_site_fract_y
_atom_site_fract_z
Cd1 Cd 0.6954 0.4869 0.7437
Ag1 Ag 0.1431 0.5973 0.8524
Au1 Au 0.2500 0.3750 0.6250
Ag2 Ag 0.0264 0.8205 0.0697
Cd2 Cd 0.8046 0.2563 0.5131
Ag3 Ag 0.5264 0.0697 0.8205
Au2 Au 0.9138 0.0424 0.2871
Au3 Au 0.7500 0.6250 0.3750
Ag4 Ag 0.8569 0.4027 0.1476
Cd3 Cd 0.1954 0.7437 0.4869
Au4 Au 0.4138 0.2871 0.0424
Ag5 Ag 0.4736 0.9303 0.1795
Ag6 Ag 0.9736 0.1795 0.9303
Au5 Au 0.5862 0.7129 0.9576
Ag7 Ag 0.6431 0.8524 0.5973
Ag8 Ag 0.3569 0.1476 0.4027
Au6 Au 0.0862 0.9576 0.7129
Cd4 Cd 0.3046 0.5131 0.2563
# Formation energy ... -0.06 eV/atom
# Density ... 12.3 g/cm3
# Energy relative to the lowest polymorph listed for this composition ... 26.1 meV/atom
# V ... 18.77 Å³ per atom